(1)
PBE Tb2Nd2O5, optimized geometry; SG = P4/mmm (123); energy above the lowest structure with this stoichiometry = 0.000 eV per atom; electronic total energy = -7.596 eV per atom
1.0
3.8982 0.0000 0.0000
0.0000 3.8982 0.0000
0.0000 0.0000 10.2248
Tb Nd O
2 2 5
direct
0.0000 0.0000 0.0000
0.0000 0.0000 0.5000
0.5000 0.5000 0.2404
0.5000 0.5000 0.7596
0.0000 0.5000 0.1348
0.0000 0.5000 0.8652
0.5000 0.0000 0.1348
0.5000 0.0000 0.8652
0.5000 0.5000 0.5000

(2)
PBE DyAu6, optimized geometry; SG = P4_2/ncm (138); electronic total energy = -3.875 eV per atom
1.0
10.4053 0.0000 0.0000
0.0000 10.4053 0.0000
0.0000 0.0000 9.7987
Dy Au
8 48
direct
0.0743 0.0743 0.2117
0.0743 0.4257 0.7117
0.4257 0.0743 0.7117
0.4257 0.4257 0.2117
0.5743 0.5743 0.7883
0.5743 0.9257 0.2883
0.9257 0.5743 0.2883
0.9257 0.9257 0.7883
0.0000 0.0000 0.5000
0.0000 0.5000 0.0000
0.0134 0.6801 0.5790
0.0134 0.8199 0.0790
0.1221 0.6990 0.8546
0.1221 0.8010 0.3546
0.1488 0.1488 0.6782
0.1488 0.3512 0.1782
0.1801 0.5134 0.4210
0.1801 0.9866 0.9210
0.1990 0.6221 0.1454
0.1990 0.8779 0.6454
0.2500 0.2500 0.4323
0.2500 0.2500 0.9323
0.3010 0.6221 0.6454
0.3010 0.8779 0.1454
0.3199 0.5134 0.9210
0.3199 0.9866 0.4210
0.3512 0.1488 0.1782
0.3512 0.3512 0.6782
0.3779 0.6990 0.3546
0.3779 0.8010 0.8546
0.4866 0.6801 0.0790
0.4866 0.8199 0.5790
0.5000 0.0000 0.0000
0.5000 0.5000 0.5000
0.5134 0.1801 0.4210
0.5134 0.3199 0.9210
0.6221 0.1990 0.1454
0.6221 0.3010 0.6454
0.6488 0.6488 0.3218
0.6488 0.8512 0.8218
0.6801 0.0134 0.5790
0.6801 0.4866 0.0790
0.6990 0.1221 0.8546
0.6990 0.3779 0.3546
0.7500 0.7500 0.0677
0.7500 0.7500 0.5677
0.8010 0.1221 0.3546
0.8010 0.3779 0.8546
0.8199 0.0134 0.0790
0.8199 0.4866 0.5790
0.8512 0.6488 0.8218
0.8512 0.8512 0.3218
0.8779 0.1990 0.6454
0.8779 0.3010 0.1454
0.9866 0.1801 0.9210
0.9866 0.3199 0.4210

(3)
PBE GaNiPd2, optimized geometry; SG = F-43m (216); electronic total energy = -5.053 eV per atom
1.0
6.0921 0.0000 0.0000
0.0000 6.0921 0.0000
0.0000 0.0000 6.0921
Ga Ni Pd
4 4 8
direct
0.0000 0.0000 0.0000
0.0000 0.5000 0.5000
0.5000 0.0000 0.5000
0.5000 0.5000 0.0000
0.2500 0.2500 0.2500
0.2500 0.7500 0.7500
0.7500 0.2500 0.7500
0.7500 0.7500 0.2500
0.0000 0.0000 0.5000
0.0000 0.5000 0.0000
0.2500 0.2500 0.7500
0.2500 0.7500 0.2500
0.5000 0.0000 0.0000
0.5000 0.5000 0.5000
0.7500 0.2500 0.2500
0.7500 0.7500 0.7500